Below is a relaxed structure of NaNiN, with properties calculated at the GGA-PBE level.

Summary:
Energy above the most stable polymorph in this dataset: 0.019 eV per atom
E_tot: -30.6 eV/cell
Density of states at the Fermi level: 3.1 states/eV per cell
V: 84.88 Å³/cell
Raw formation energy: 36 meV per atom

Cell and atoms, written as POSCAR:
```
NaNiN
1.0
3.5155 0.0000 0.0000
-0.4917 5.0650 0.0000
-0.7204 -1.8712 4.7671
Na Ni N
2 2 2
Direct
0.0000 0.0000 0.0000
0.0287 0.6030 0.4029
0.4248 0.5065 0.9082
0.6268 0.1236 0.5177
0.5158 0.8207 0.2199
0.8848 0.4111 0.8099
```